# 1
Below is crystalline Sb3BrF at its relaxed geometry, with properties calculated at the PBEsol level.

Summary:
- VASP energy: -3.425 eV per atom
- Calculated density: 6.39 g/cm³

```
data_Sb3BrF
_chemical_formula_sum 'Sb3 Br1 F1'
_cell_length_a 4.9416
_cell_length_b 4.9416
_cell_length_c 4.9416
_cell_angle_alpha 90.00
_cell_angle_beta 90.00
_cell_angle_gamma 90.00
_space_group_name_H-M_alt 'P 1'
_space_group_IT_number 1
_space_group_name_Hall 'P 1'
loop_
_atom_site_label
_atom_site_type_symbol
_atom_site_fract_x
_atom_site_fract_y
_atom_site_fract_z
Sb1 Sb 0.0000 0.0000 0.5000
Sb2 Sb 0.0000 0.5000 0.0000
Sb3 Sb 0.5000 0.0000 0.0000
Br1 Br 0.5000 0.5000 0.5000
F1 F 0.0000 0.0000 0.0000
```

# 2
Below is crystalline Ta3NbH at its relaxed geometry, with properties calculated at the PBEsol level.

Summary:
- VASP energy: -10.215 eV per atom
- Calculated density: 14.21 g/cm³

```
data_Ta3NbH
_chemical_formula_sum 'Ta3 Nb1 H1'
_cell_length_a 4.2060
_cell_length_b 4.2060
_cell_length_c 4.2060
_cell_angle_alpha 90.00
_cell_angle_beta 90.00
_cell_angle_gamma 90.00
_space_group_name_H-M_alt 'P 1'
_space_group_IT_number 1
_space_group_name_Hall 'P 1'
loop_
_atom_site_label
_atom_site_type_symbol
_atom_site_fract_x
_atom_site_fract_y
_atom_site_fract_z
Ta1 Ta 0.0000 0.0000 0.5000
Ta2 Ta 0.0000 0.5000 0.0000
Ta3 Ta 0.5000 0.0000 0.0000
Nb1 Nb 0.5000 0.5000 0.5000
H1 H 0.0000 0.0000 0.0000
```

# 3
Below is crystalline MgScIn4 at its relaxed geometry, with properties calculated at the PBEsol level.

Summary:
- Formation energy from the elements: -0.024 eV per atom
- Calculated density: 6.09 g/cm³

```
data_MgScIn4
_chemical_formula_sum 'Mg1 Sc1 In4'
_cell_length_a 5.8862
_cell_length_b 5.8862
_cell_length_c 5.8862
_cell_angle_alpha 60.00
_cell_angle_beta 60.00
_cell_angle_gamma 60.00
_space_group_name_H-M_alt 'P 1'
_space_group_IT_number 1
_space_group_name_Hall 'P 1'
loop_
_atom_site_label
_atom_site_type_symbol
_atom_site_fract_x
_atom_site_fract_y
_atom_site_fract_z
Mg1 Mg 0.0000 0.0000 0.0000
Sc1 Sc 0.2500 0.2500 0.2500
In1 In 0.1248 0.6251 0.6251
In2 In 0.6251 0.1248 0.6251
In3 In 0.6251 0.6251 0.1248
In4 In 0.6251 0.6251 0.6251
```

# 4
Below is crystalline TaMo3 at its relaxed geometry, with properties calculated at the PBEsol level.

Summary:
- Formation energy from the elements: -0.098 eV per atom
- Calculated density: 12.32 g/cm³

```
data_TaMo3
_chemical_formula_sum 'Ta2 Mo6'
_cell_length_a 3.1619
_cell_length_b 4.4597
_cell_length_c 8.9618
_cell_angle_alpha 90.00
_cell_angle_beta 90.00
_cell_angle_gamma 90.00
_space_group_name_H-M_alt 'P 1'
_space_group_IT_number 1
_space_group_name_Hall 'P 1'
loop_
_atom_site_label
_atom_site_type_symbol
_atom_site_fract_x
_atom_site_fract_y
_atom_site_fract_z
Ta1 Ta 0.2500 0.0000 0.1307
Ta2 Ta 0.7500 0.0000 0.8693
Mo1 Mo 0.2500 0.0000 0.6194
Mo2 Mo 0.2500 0.5000 0.3762
Mo3 Mo 0.2500 0.5000 0.8731
Mo4 Mo 0.7500 0.0000 0.3806
Mo5 Mo 0.7500 0.5000 0.1269
Mo6 Mo 0.7500 0.5000 0.6238
```

# 5
Below is crystalline Na3CoPCO7 at its relaxed geometry, with properties calculated at the PBEsol level.

Summary:
- Energy relative to the lowest polymorph listed for this composition: 0.020 eV per atom
- Calculated density: 3.10 g/cm³

```
data_Na3CoPCO7
_chemical_formula_sum 'Na6 Co2 P2 C2 O14'
_cell_length_a 5.2239
_cell_length_b 6.5510
_cell_length_c 8.8611
_cell_angle_alpha 90.00
_cell_angle_beta 90.55
_cell_angle_gamma 90.00
_space_group_name_H-M_alt 'P 1'
_space_group_IT_number 1
_space_group_name_Hall 'P 1'
loop_
_atom_site_label
_atom_site_type_symbol
_atom_site_fract_x
_atom_site_fract_y
_atom_site_fract_z
Na1 Na 0.0025 0.0000 0.0033
Na2 Na 0.4366 0.7498 0.1665
Na3 Na 0.4941 0.9991 0.4953
Na4 Na 0.5059 0.4991 0.5047
Na5 Na 0.5634 0.2498 0.8335
Na6 Na 0.9975 0.5000 0.9967
Co1 Co 0.0333 0.2622 0.2915
Co2 Co 0.9667 0.7622 0.7085
P1 P 0.0169 0.2503 0.6510
P2 P 0.9831 0.7503 0.3490
C1 C 0.4996 0.2472 0.1568
C2 C 0.5004 0.7472 0.8432
O1 O 0.0767 0.5625 0.2538
O2 O 0.0778 0.9384 0.2579
O3 O 0.1200 0.7432 0.5057
O4 O 0.2568 0.7443 0.8764
O5 O 0.3078 0.2474 0.6347
O6 O 0.3309 0.2550 0.0486
O7 O 0.4268 0.2423 0.2949
O8 O 0.5732 0.7423 0.7051
O9 O 0.6691 0.7550 0.9514
O10 O 0.6922 0.7474 0.3653
O11 O 0.7432 0.2443 0.1236
O12 O 0.8800 0.2432 0.4943
O13 O 0.9222 0.4384 0.7421
O14 O 0.9233 0.0625 0.7462
```

# 6
Below is crystalline CdSiIN2 at its relaxed geometry, with properties calculated at the PBEsol level.

Summary:
- VASP energy: -3.302 eV per atom
- Calculated density: 4.45 g/cm³

```
data_CdSiIN2
_chemical_formula_sum 'Cd1 Si1 I1 N2'
_cell_length_a 4.2672
_cell_length_b 4.2672
_cell_length_c 6.0494
_cell_angle_alpha 90.00
_cell_angle_beta 90.00
_cell_angle_gamma 90.00
_space_group_name_H-M_alt 'P 1'
_space_group_IT_number 1
_space_group_name_Hall 'P 1'
loop_
_atom_site_label
_atom_site_type_symbol
_atom_site_fract_x
_atom_site_fract_y
_atom_site_fract_z
Cd1 Cd 0.0000 0.0000 0.0000
Si1 Si 0.5000 0.5000 0.5000
I1 I 0.0000 0.0000 0.5000
N1 N 0.0000 0.5000 0.0000
N2 N 0.5000 0.0000 0.0000
```